A geometry-optimized InSbCl structure. Source: the Alexandria database, functional PBEsol.

Unit cell a=4.913 b=4.913 c=4.913 alpha=60.00 beta=60.00 gamma=60.00
Atoms (fractional coordinates):
Sb 0.500 0.500 0.500
Cl 0.750 0.750 0.750
In 0.000 0.000 0.000

Results
Space-group type: No. 216
Spin magnetization, Bohr magnetons per cell: 0.0
Energy above the most stable polymorph in this dataset, meV per atom: 523.8
N(E_F), states/eV/atom: 0.913